# 1
# Ac3PrInCo, optimized geometry, DFT PBE
# **Crystal system**: monoclinic
# **DFT formation energy**: -0.159 eV/atom
# **DFT total energy**: -55.80 eV/cell
# **D(E_F)**: 11.3 states/eV/cell
data_Ac3PrInCo
_chemical_formula_sum 'Ac6 Pr2 In2 Co2'
_cell_length_a 9.6220
_cell_length_b 9.6220
_cell_length_c 6.4234
_cell_angle_alpha 109.43
_cell_angle_beta 109.43
_cell_angle_gamma 45.88
_space_group_name_H-M_alt 'P 1'
_space_group_IT_number 1
_space_group_name_Hall 'P 1'
loop_
_atom_site_label
_atom_site_type_symbol
_atom_site_fract_x
_atom_site_fract_y
_atom_site_fract_z
_atom_site_occupancy
Ac1 Ac 0.1328 0.6370 0.8850 1
Ac2 Ac 0.3134 0.3134 0.3128 1
Ac3 Ac 0.3630 0.8672 0.1150 1
Ac4 Ac 0.6370 0.1328 0.8850 1
Ac5 Ac 0.6866 0.6866 0.6872 1
Ac6 Ac 0.8672 0.3630 0.1150 1
Pr1 Pr 0.2315 0.7685 0.5000 1
Pr2 Pr 0.7685 0.2315 0.5000 1
In1 In 0.1905 0.1905 0.6904 1
In2 In 0.8095 0.8095 0.3096 1
Co1 Co 0.4988 0.4988 0.2048 1
Co2 Co 0.5012 0.5012 0.7952 1

# 2
# Mg4Tl5In2, optimized geometry, DFT PBE
# **Crystal system**: triclinic
# **DFT formation energy**: -0.002 eV/atom
# **DFT total energy**: -23.71 eV/cell
# **D(E_F)**: 4.6 states/eV/cell
data_Mg4Tl5In2
_chemical_formula_sum 'Mg4 Tl5 In2'
_cell_length_a 5.0484
_cell_length_b 6.4758
_cell_length_c 9.0684
_cell_angle_alpha 88.33
_cell_angle_beta 77.21
_cell_angle_gamma 88.59
_space_group_name_H-M_alt 'P 1'
_space_group_IT_number 1
_space_group_name_Hall 'P 1'
loop_
_atom_site_label
_atom_site_type_symbol
_atom_site_fract_x
_atom_site_fract_y
_atom_site_fract_z
_atom_site_occupancy
Mg1 Mg 0.0501 0.2280 0.4196 1
Mg2 Mg 0.3155 0.5912 0.8556 1
Mg3 Mg 0.6845 0.4088 0.1444 1
Mg4 Mg 0.9499 0.7720 0.5804 1
Tl1 Tl 0.1473 0.6755 0.2245 1
Tl2 Tl 0.2275 0.1574 0.0522 1
Tl3 Tl 0.5000 0.5000 0.5000 1
Tl4 Tl 0.7725 0.8426 0.9478 1
Tl5 Tl 0.8527 0.3245 0.7755 1
In1 In 0.3926 0.0251 0.6797 1
In2 In 0.6073 0.9749 0.3203 1

# 3
# K2NdMg3F12, optimized geometry, DFT PBE
# **Crystal system**: trigonal
# **DFT total energy**: -92.98 eV/cell
# **Formation energy without anion corrections**: -315.0 kJ/mol of atoms
# **D(E_F)**: 8.2 states/eV/cell
data_K2NdMg3F12
_chemical_formula_sum 'K2 Nd1 Mg3 F12'
_cell_length_a 6.9330
_cell_length_b 6.9330
_cell_length_c 6.9330
_cell_angle_alpha 65.40
_cell_angle_beta 65.40
_cell_angle_gamma 65.40
_space_group_name_H-M_alt 'P 1'
_space_group_IT_number 1
_space_group_name_Hall 'P 1'
loop_
_atom_site_label
_atom_site_type_symbol
_atom_site_fract_x
_atom_site_fract_y
_atom_site_fract_z
_atom_site_occupancy
K1 K 0.1074 0.1074 0.1074 1
K2 K 0.8926 0.8926 0.8926 1
Nd1 Nd 0.5000 0.5000 0.5000 1
Mg1 Mg 0.0000 0.5000 0.5000 1
Mg2 Mg 0.5000 0.0000 0.5000 1
Mg3 Mg 0.5000 0.5000 0.0000 1
F1 F 0.0984 0.6363 0.6363 1
F2 F 0.2354 0.2354 0.6034 1
F3 F 0.2354 0.6034 0.2354 1
F4 F 0.3637 0.3637 0.9016 1
F5 F 0.3637 0.9016 0.3637 1
F6 F 0.3966 0.7646 0.7646 1
F7 F 0.6034 0.2354 0.2354 1
F8 F 0.6363 0.0984 0.6363 1
F9 F 0.6363 0.6363 0.0984 1
F10 F 0.7646 0.3966 0.7646 1
F11 F 0.7646 0.7646 0.3966 1
F12 F 0.9016 0.3637 0.3637 1

# 4
# LiCI2, optimized geometry, DFT PBE
# **Crystal system**: tetragonal
# **DFT total energy**: -43.89 eV/cell
# **Formation energy without anion corrections**: 78.8 kJ/mol of atoms
# **D(E_F)**: 0.7 states/eV/cell
data_LiCI2
_chemical_formula_sum 'Li4 C4 I8'
_cell_length_a 5.8851
_cell_length_b 5.8851
_cell_length_c 13.7236
_cell_angle_alpha 90.00
_cell_angle_beta 90.00
_cell_angle_gamma 90.00
_space_group_name_H-M_alt 'P 1'
_space_group_IT_number 1
_space_group_name_Hall 'P 1'
loop_
_atom_site_label
_atom_site_type_symbol
_atom_site_fract_x
_atom_site_fract_y
_atom_site_fract_z
_atom_site_occupancy
Li1 Li 0.0000 0.0000 0.0000 1
Li2 Li 0.0000 0.5000 0.2500 1
Li3 Li 0.5000 0.0000 0.7500 1
Li4 Li 0.5000 0.5000 0.5000 1
C1 C 0.0000 0.0000 0.5000 1
C2 C 0.0000 0.5000 0.7500 1
C3 C 0.5000 0.0000 0.2500 1
C4 C 0.5000 0.5000 0.0000 1
I1 I 0.1952 0.2500 0.6250 1
I2 I 0.2500 0.6952 0.8750 1
I3 I 0.2500 0.8048 0.3750 1
I4 I 0.3048 0.2500 0.1250 1
I5 I 0.6952 0.7500 0.1250 1
I6 I 0.7500 0.1952 0.3750 1
I7 I 0.7500 0.3048 0.8750 1
I8 I 0.8048 0.7500 0.6250 1

# 5
# Mg2AlIn, optimized geometry, DFT PBE
# **Crystal system**: tetragonal
# **DFT formation energy**: -0.016 eV/atom
# **DFT total energy**: -9.73 eV/cell
# **D(E_F)**: 1.7 states/eV/cell
data_Mg2AlIn
_chemical_formula_sum 'Mg2 Al1 In1'
_cell_length_a 4.4392
_cell_length_b 4.4392
_cell_length_c 4.3074
_cell_angle_alpha 90.00
_cell_angle_beta 90.00
_cell_angle_gamma 90.00
_space_group_name_H-M_alt 'P 1'
_space_group_IT_number 1
_space_group_name_Hall 'P 1'
loop_
_atom_site_label
_atom_site_type_symbol
_atom_site_fract_x
_atom_site_fract_y
_atom_site_fract_z
_atom_site_occupancy
Mg1 Mg 0.0000 0.5000 0.0000 1
Mg2 Mg 0.5000 0.0000 0.0000 1
Al1 Al 0.0000 0.0000 0.5000 1
In1 In 0.5000 0.5000 0.5000 1

# 6
# Ac2HoCd, optimized geometry, DFT PBE
# **Crystal system**: tetragonal
# **DFT formation energy**: -0.101 eV/atom
# **DFT total energy**: -14.12 eV/cell
# **Energy above the most stable polymorph in this dataset**: 0 meV per atom
# **D(E_F)**: 4.7 states/eV/cell
data_Ac2HoCd
_chemical_formula_sum 'Ac2 Ho1 Cd1'
_cell_length_a 3.9786
_cell_length_b 3.9786
_cell_length_c 9.1584
_cell_angle_alpha 90.00
_cell_angle_beta 90.00
_cell_angle_gamma 90.00
_space_group_name_H-M_alt 'P 1'
_space_group_IT_number 1
_space_group_name_Hall 'P 1'
loop_
_atom_site_label
_atom_site_type_symbol
_atom_site_fract_x
_atom_site_fract_y
_atom_site_fract_z
_atom_site_occupancy
Ac1 Ac 0.0000 0.0000 0.2300 1
Ac2 Ac 0.0000 0.0000 0.7700 1
Ho1 Ho 0.5000 0.5000 0.5000 1
Cd1 Cd 0.5000 0.5000 0.0000 1

# 7
# SrZn2As, optimized geometry, DFT PBE
# **Crystal system**: tetragonal
# **DFT formation energy**: -0.145 eV/atom
# **DFT total energy**: -9.46 eV/cell
# **D(E_F)**: 2.6 states/eV/cell
data_SrZn2As
_chemical_formula_sum 'Sr1 Zn2 As1'
_cell_length_a 3.7758
_cell_length_b 3.7758
_cell_length_c 6.4629
_cell_angle_alpha 90.00
_cell_angle_beta 90.00
_cell_angle_gamma 90.00
_space_group_name_H-M_alt 'P 1'
_space_group_IT_number 1
_space_group_name_Hall 'P 1'
loop_
_atom_site_label
_atom_site_type_symbol
_atom_site_fract_x
_atom_site_fract_y
_atom_site_fract_z
_atom_site_occupancy
Sr1 Sr 0.0000 0.0000 0.0000 1
Zn1 Zn 0.5000 0.5000 0.3055 1
Zn2 Zn 0.5000 0.5000 0.6945 1
As1 As 0.0000 0.0000 0.5000 1

# 8
# Pm12Mg3Zn5, optimized geometry, DFT PBE
# **Crystal system**: cubic
# **DFT formation energy**: 0.347 eV/atom
# **DFT total energy**: -244.92 eV/cell
# **D(E_F)**: 150.5 states/eV/cell
data_Pm12Mg3Zn5
_chemical_formula_sum 'Pm48 Mg12 Zn20'
_cell_length_a 15.3965
_cell_length_b 15.3965
_cell_length_c 15.3965
_cell_angle_alpha 109.47
_cell_angle_beta 109.47
_cell_angle_gamma 109.47
_space_group_name_H-M_alt 'P 1'
_space_group_IT_number 1
_space_group_name_Hall 'P 1'
loop_
_atom_site_label
_atom_site_type_symbol
_atom_site_fract_x
_atom_site_fract_y
_atom_site_fract_z
_atom_site_occupancy
Pm1 Pm 0.0477 0.2155 0.1264 1
Pm2 Pm 0.0477 0.3322 0.9213 1
Pm3 Pm 0.0787 0.6264 0.4109 1
Pm4 Pm 0.0787 0.9523 0.6678 1
Pm5 Pm 0.0891 0.7155 0.6678 1
Pm6 Pm 0.0891 0.8736 0.4213 1
Pm7 Pm 0.1264 0.0477 0.2155 1
Pm8 Pm 0.1264 0.5787 0.9109 1
Pm9 Pm 0.1678 0.2155 0.5891 1
Pm10 Pm 0.1678 0.4523 0.5787 1
Pm11 Pm 0.2155 0.1264 0.0477 1
Pm12 Pm 0.2155 0.5891 0.1678 1
Pm13 Pm 0.2845 0.3322 0.9109 1
Pm14 Pm 0.2845 0.4523 0.3736 1
Pm15 Pm 0.3322 0.9109 0.2845 1
Pm16 Pm 0.3322 0.9213 0.0477 1
Pm17 Pm 0.3736 0.2845 0.4523 1
Pm18 Pm 0.3736 0.5891 0.9213 1
Pm19 Pm 0.4109 0.0787 0.6264 1
Pm20 Pm 0.4109 0.8322 0.7845 1
Pm21 Pm 0.4213 0.0891 0.8736 1
Pm22 Pm 0.4213 0.8322 0.5477 1
Pm23 Pm 0.4523 0.3736 0.2845 1
Pm24 Pm 0.4523 0.5787 0.1678 1
Pm25 Pm 0.5477 0.4213 0.8322 1
Pm26 Pm 0.5477 0.6264 0.7155 1
Pm27 Pm 0.5787 0.1678 0.4523 1
Pm28 Pm 0.5787 0.9109 0.1264 1
Pm29 Pm 0.5891 0.1678 0.2155 1
Pm30 Pm 0.5891 0.9213 0.3736 1
Pm31 Pm 0.6264 0.4109 0.0787 1
Pm32 Pm 0.6264 0.7155 0.5477 1
Pm33 Pm 0.6678 0.0787 0.9523 1
Pm34 Pm 0.6678 0.0891 0.7155 1
Pm35 Pm 0.7155 0.5477 0.6264 1
Pm36 Pm 0.7155 0.6678 0.0891 1
Pm37 Pm 0.7845 0.4109 0.8322 1
Pm38 Pm 0.7845 0.8736 0.9523 1
Pm39 Pm 0.8322 0.5477 0.4213 1
Pm40 Pm 0.8322 0.7845 0.4109 1
Pm41 Pm 0.8736 0.4213 0.0891 1
Pm42 Pm 0.8736 0.9523 0.7845 1
Pm43 Pm 0.9109 0.1264 0.5787 1
Pm44 Pm 0.9109 0.2845 0.3322 1
Pm45 Pm 0.9213 0.0477 0.3322 1
Pm46 Pm 0.9213 0.3736 0.5891 1
Pm47 Pm 0.9523 0.6678 0.0787 1
Pm48 Pm 0.9523 0.7845 0.8736 1
Mg1 Mg 0.1250 0.2500 0.3750 1
Mg2 Mg 0.1250 0.3750 0.7500 1
Mg3 Mg 0.2500 0.3750 0.1250 1
Mg4 Mg 0.2500 0.8750 0.6250 1
Mg5 Mg 0.3750 0.1250 0.2500 1
Mg6 Mg 0.3750 0.7500 0.1250 1
Mg7 Mg 0.6250 0.2500 0.8750 1
Mg8 Mg 0.6250 0.8750 0.7500 1
Mg9 Mg 0.7500 0.1250 0.3750 1
Mg10 Mg 0.7500 0.6250 0.8750 1
Mg11 Mg 0.8750 0.6250 0.2500 1
Mg12 Mg 0.8750 0.7500 0.6250 1
Zn1 Zn 0.0000 0.0000 0.0000 1
Zn2 Zn 0.0000 0.0000 0.5000 1
Zn3 Zn 0.0000 0.5000 0.0000 1
Zn4 Zn 0.0000 0.5000 0.5000 1
Zn5 Zn 0.1250 0.7500 0.8750 1
Zn6 Zn 0.1250 0.8750 0.2500 1
Zn7 Zn 0.2500 0.1250 0.8750 1
Zn8 Zn 0.2500 0.6250 0.3750 1
Zn9 Zn 0.3750 0.2500 0.6250 1
Zn10 Zn 0.3750 0.6250 0.7500 1
Zn11 Zn 0.5000 0.0000 0.0000 1
Zn12 Zn 0.5000 0.0000 0.5000 1
Zn13 Zn 0.5000 0.5000 0.0000 1
Zn14 Zn 0.5000 0.5000 0.5000 1
Zn15 Zn 0.6250 0.3750 0.2500 1
Zn16 Zn 0.6250 0.7500 0.3750 1
Zn17 Zn 0.7500 0.3750 0.6250 1
Zn18 Zn 0.7500 0.8750 0.1250 1
Zn19 Zn 0.8750 0.1250 0.7500 1
Zn20 Zn 0.8750 0.2500 0.1250 1

# 9
# BaCdAu, optimized geometry, DFT PBE
# **Crystal system**: orthorhombic
# **DFT formation energy**: -0.554 eV/atom
# **DFT total energy**: -15.55 eV/cell
# **D(E_F)**: 5.2 states/eV/cell
data_BaCdAu
_chemical_formula_sum 'Ba2 Cd2 Au2'
_cell_length_a 4.4086
_cell_length_b 4.9746
_cell_length_c 8.5984
_cell_angle_alpha 90.00
_cell_angle_beta 90.00
_cell_angle_gamma 90.00
_space_group_name_H-M_alt 'P 1'
_space_group_IT_number 1
_space_group_name_Hall 'P 1'
loop_
_atom_site_label
_atom_site_type_symbol
_atom_site_fract_x
_atom_site_fract_y
_atom_site_fract_z
_atom_site_occupancy
Ba1 Ba 0.0000 0.0000 0.0000 1
Ba2 Ba 0.0000 0.5000 0.5000 1
Cd1 Cd 0.5000 0.0000 0.3335 1
Cd2 Cd 0.5000 0.5000 0.8335 1
Au1 Au 0.5000 0.0000 0.6673 1
Au2 Au 0.5000 0.5000 0.1673 1

# 10
# CuRhPbSe2, optimized geometry, DFT PBE
# **Crystal system**: tetragonal
# **DFT total energy**: -16.17 eV/cell
# **Formation energy without anion corrections**: 115.0 kJ/mol of atoms
# **D(E_F)**: 5.3 states/eV/cell
data_CuRhPbSe2
_chemical_formula_sum 'Cu1 Rh1 Pb1 Se2'
_cell_length_a 5.4398
_cell_length_b 5.4398
_cell_length_c 5.0879
_cell_angle_alpha 90.00
_cell_angle_beta 90.00
_cell_angle_gamma 90.00
_space_group_name_H-M_alt 'P 1'
_space_group_IT_number 1
_space_group_name_Hall 'P 1'
loop_
_atom_site_label
_atom_site_type_symbol
_atom_site_fract_x
_atom_site_fract_y
_atom_site_fract_z
_atom_site_occupancy
Cu1 Cu 0.0000 0.0000 0.0000 1
Rh1 Rh 0.5000 0.5000 0.0000 1
Pb1 Pb 0.5000 0.5000 0.5000 1
Se1 Se 0.0000 0.5000 0.5000 1
Se2 Se 0.5000 0.0000 0.5000 1